A plane-wave DFT calculation with SCAN was carried out for a crystal of Li4ReNi relaxed with PBEsol.

Cell and atoms, written as CIF:
```
data_Li4ReNi
_chemical_formula_sum 'Li16 Re4 Ni4'
_cell_length_a 6.5626
_cell_length_b 6.5626
_cell_length_c 6.5626
_cell_angle_alpha 90.00
_cell_angle_beta 90.00
_cell_angle_gamma 90.00
_space_group_name_H-M_alt 'F -4 3 m'
_space_group_IT_number 216
_space_group_name_Hall 'F -4 2 3'
loop_
_atom_site_label
_atom_site_type_symbol
_atom_site_fract_x
_atom_site_fract_y
_atom_site_fract_z
Li1 Li 0.1248 0.1248 0.1248
Re1 Re 0.0000 0.0000 0.5000
Ni1 Ni 0.2500 0.2500 0.7500
```

Computed properties:
- Density of states at the Fermi level: 0.3542 states/eV per atom
- Total moment: 2.6 μB/f.u.
- Volume: 282.6 Å³/cell
- Calculated total energy: -1.144 Ry/atom
- Formation energy from the elements: 0.578 eV/atom